VASP calculation (PBE) on an optimized crystal structure of FeNiSn.

- symmetry = P-62m (189)
- final energy (eV/atom) = -5.6834

Geometry as CIF:
```
data_FeNiSn
_space_group_name_H-M_alt 'P 1'
_space_group_IT_number 1
_space_group_name_Hall 'P 1'
_cell_length_a 6.3635
_cell_length_b 6.3635
_cell_length_c 3.9716
_cell_angle_alpha 90.00
_cell_angle_beta 90.00
_cell_angle_gamma 120.00
loop_
_atom_site_label
_atom_site_fract_x
_atom_site_fract_y
_atom_site_fract_z
Fe1 0.0000 0.2336 0.0000
Fe2 0.2336 0.0000 0.0000
Fe3 0.7664 0.7664 0.0000
Ni1 0.0000 0.5759 0.5000
Ni2 0.4241 0.4241 0.5000
Ni3 0.5759 0.0000 0.5000
Sn1 0.0000 0.0000 0.5000
Sn2 0.3333 0.6667 0.0000
Sn3 0.6667 0.3333 0.0000
```

VASP calculation (PBE) on an optimized crystal structure of Y2ZnB.

- symmetry = F-43m (216)
- final energy (eV/atom) = -4.3661
- distance to the lowest polymorph of the same formula (eV per atom) = 0.861

Geometry as CIF:
```
data_Y2ZnB
_space_group_name_H-M_alt 'P 1'
_space_group_IT_number 1
_space_group_name_Hall 'P 1'
_cell_length_a 6.8196
_cell_length_b 6.8196
_cell_length_c 6.8196
_cell_angle_alpha 90.00
_cell_angle_beta 90.00
_cell_angle_gamma 90.00
loop_
_atom_site_label
_atom_site_fract_x
_atom_site_fract_y
_atom_site_fract_z
Y1 0.0000 0.0000 0.0000
Y2 0.0000 0.5000 0.5000
Y3 0.2500 0.2500 0.2500
Y4 0.2500 0.7500 0.7500
Y5 0.5000 0.0000 0.5000
Y6 0.5000 0.5000 0.0000
Y7 0.7500 0.2500 0.7500
Y8 0.7500 0.7500 0.2500
Zn1 0.2500 0.2500 0.7500
Zn2 0.2500 0.7500 0.2500
Zn3 0.7500 0.2500 0.2500
Zn4 0.7500 0.7500 0.7500
B1 0.0000 0.0000 0.5000
B2 0.0000 0.5000 0.0000
B3 0.5000 0.0000 0.0000
B4 0.5000 0.5000 0.5000
```

VASP calculation (PBE) on an optimized crystal structure of LiGdHgS3.

- symmetry = Pnma (62)
- final energy (eV/atom) = -4.3632
- distance to the lowest polymorph of the same formula (eV per atom) = 0.000

Geometry as CIF:
```
data_LiGdHgS3
_space_group_name_H-M_alt 'P 1'
_space_group_IT_number 1
_space_group_name_Hall 'P 1'
_cell_length_a 12.4142
_cell_length_b 3.9314
_cell_length_c 11.1935
_cell_angle_alpha 90.00
_cell_angle_beta 90.00
_cell_angle_gamma 90.00
loop_
_atom_site_label
_atom_site_fract_x
_atom_site_fract_y
_atom_site_fract_z
Li1 0.1119 0.2500 0.0168
Li2 0.3881 0.7500 0.5168
Li3 0.6119 0.2500 0.4832
Li4 0.8881 0.7500 0.9832
Gd1 0.0561 0.2500 0.6750
Gd2 0.4439 0.7500 0.1750
Gd3 0.5561 0.2500 0.8250
Gd4 0.9439 0.7500 0.3250
Hg1 0.2316 0.2500 0.2916
Hg2 0.2684 0.7500 0.7916
Hg3 0.7316 0.2500 0.2084
Hg4 0.7684 0.7500 0.7084
S1 0.0667 0.7500 0.8579
S2 0.0720 0.2500 0.4201
S3 0.2286 0.7500 0.1347
S4 0.2714 0.2500 0.6347
S5 0.4280 0.7500 0.9201
S6 0.4333 0.2500 0.3579
S7 0.5667 0.7500 0.6421
S8 0.5720 0.2500 0.0799
S9 0.7286 0.7500 0.3653
S10 0.7714 0.2500 0.8653
S11 0.9280 0.7500 0.5799
S12 0.9333 0.2500 0.1421
```

VASP calculation (PBE) on an optimized crystal structure of HfHg.

- E_form (eV per formula unit) = 0.152
- symmetry = P-6m2 (187)
- final energy (eV/atom) = -5.0503

Geometry as CIF:
```
data_HfHg
_space_group_name_H-M_alt 'P 1'
_space_group_IT_number 1
_space_group_name_Hall 'P 1'
_cell_length_a 3.1290
_cell_length_b 3.1290
_cell_length_c 5.0648
_cell_angle_alpha 90.00
_cell_angle_beta 90.00
_cell_angle_gamma 120.00
loop_
_atom_site_label
_atom_site_fract_x
_atom_site_fract_y
_atom_site_fract_z
Hf1 0.0000 0.0000 0.0000
Hg1 0.6667 0.3333 0.5000
```

VASP calculation (PBE) on an optimized crystal structure of HfInCoMo.

- symmetry = F-43m (216)
- final energy (eV/atom) = -7.5089
- distance to the lowest polymorph of the same formula (eV per atom) = 0.000

Geometry as CIF:
```
data_HfInCoMo
_space_group_name_H-M_alt 'P 1'
_space_group_IT_number 1
_space_group_name_Hall 'P 1'
_cell_length_a 6.4733
_cell_length_b 6.4733
_cell_length_c 6.4733
_cell_angle_alpha 90.00
_cell_angle_beta 90.00
_cell_angle_gamma 90.00
loop_
_atom_site_label
_atom_site_fract_x
_atom_site_fract_y
_atom_site_fract_z
Hf1 0.0000 0.0000 0.0000
Hf2 0.0000 0.5000 0.5000
Hf3 0.5000 0.0000 0.5000
Hf4 0.5000 0.5000 0.0000
In1 0.0000 0.0000 0.5000
In2 0.0000 0.5000 0.0000
In3 0.5000 0.0000 0.0000
In4 0.5000 0.5000 0.5000
Co1 0.2500 0.2500 0.7500
Co2 0.2500 0.7500 0.2500
Co3 0.7500 0.2500 0.2500
Co4 0.7500 0.7500 0.7500
Mo1 0.2500 0.2500 0.2500
Mo2 0.2500 0.7500 0.7500
Mo3 0.7500 0.2500 0.7500
Mo4 0.7500 0.7500 0.2500
```

VASP calculation (PBE) on an optimized crystal structure of TmNbPd.

- E_form (eV per formula unit) = 2.353
- symmetry = F-43m (216)
- final energy (eV/atom) = -5.7971
- distance to the lowest polymorph of the same formula (eV per atom) = 0.665

Geometry as CIF:
```
data_TmNbPd
_space_group_name_H-M_alt 'P 1'
_space_group_IT_number 1
_space_group_name_Hall 'P 1'
_cell_length_a 6.5185
_cell_length_b 6.5185
_cell_length_c 6.5185
_cell_angle_alpha 90.00
_cell_angle_beta 90.00
_cell_angle_gamma 90.00
loop_
_atom_site_label
_atom_site_fract_x
_atom_site_fract_y
_atom_site_fract_z
Tm1 0.0000 0.0000 0.0000
Tm2 0.0000 0.5000 0.5000
Tm3 0.5000 0.0000 0.5000
Tm4 0.5000 0.5000 0.0000
Nb1 0.2500 0.2500 0.7500
Nb2 0.2500 0.7500 0.2500
Nb3 0.7500 0.2500 0.2500
Nb4 0.7500 0.7500 0.7500
Pd1 0.2500 0.2500 0.2500
Pd2 0.2500 0.7500 0.7500
Pd3 0.7500 0.2500 0.7500
Pd4 0.7500 0.7500 0.2500
```